Compound: PrFeB2
Source: Alexandria
Functional: PBE-GGA
Structure: optimized geometry

Output
Energy = -81.26 eV/cell
Mass density = 6.88 g/cm³
Formation energy = -0.12 eV/atom

Unit cell a=3.5011 b=3.5011 c=14.8955 alpha=90.00 beta=90.00 gamma=120.00
Closest atoms and distances in Å follow each position.
Space group R-3m (No. 166, hexagonal axes)
Inequivalent atoms, fractional coordinates:
1 Pr 0.0000 0.0000 0.0000 [3 per cell]  8 B 2.79-2.97
2 Fe 0.0000 0.0000 0.5000 [3 per cell]  6 B 2.05
3 B 0.0000 0.0000 0.1876 [6 per cell]  3 Fe 2.05, 3 B 2.12


Compound: Pr2FeB10
Source: Alexandria
Functional: PBE-GGA
Structure: optimized geometry

Output
Energy = -182.85 eV/cell
Mass density = 5.51 g/cm³
Formation energy = -0.51 eV/atom

Unit cell a=5.6664 b=11.2732 c=4.2093 alpha=90.00 beta=90.00 gamma=90.00
Closest atoms and distances in Å follow each position.
Space group Pbam (No. 55)
Inequivalent atoms, fractional coordinates:
1 Pr 0.2085 0.1320 0.0000 [4 per cell]  20 B 2.87-3.09, 2 Fe 3.06
2 Fe 0.0000 0.5000 0.5000 [2 per cell]  8 B 2.11-2.15
3 B 0.0360 0.3136 0.5000 [4 per cell]  4 B 1.70-1.78
4 B 0.1285 0.9599 0.5000 [4 per cell]  4 B 1.71-1.78
5 B 0.1541 0.8026 0.5000 [4 per cell]  5 B 1.70-1.78
6 B 0.2034 0.3871 0.2025 [8 per cell]  4 B 1.70-1.78


Compound: PrFeB
Source: Alexandria
Functional: PBE-GGA
Structure: optimized geometry

Output
Energy = -19.97 eV/cell
Mass density = 7.19 g/cm³
Formation energy = -0.02 eV/atom
ΔE to the lowest computed polymorph = 259.4 meV/atom

Unit cell a=3.5910 b=3.5910 c=4.2915 alpha=90.00 beta=90.00 gamma=120.00
Closest atoms and distances in Å follow each position.
Space group P-6m2 (No. 187)
Inequivalent atoms, fractional coordinates:
1 Pr 0.0000 0.0000 0.0000 [1 per cell]  6 Fe 2.98, 6 B 2.98
2 Fe 0.6667 0.3333 0.5000 [1 per cell]  3 B 2.07
3 B 0.3333 0.6667 0.5000 [1 per cell]  3 Fe 2.07


Compound: Pr2FeBPt6
Source: Alexandria
Functional: PBE-GGA
Structure: optimized geometry

Output
Energy = -204.81 eV/cell
Mass density = 13.61 g/cm³
Formation energy = -0.73 eV/atom

Unit cell a=5.7407 b=5.7407 c=19.4765 alpha=90.00 beta=90.00 gamma=120.00
Closest atoms and distances in Å follow each position.
Space group R-3m (No. 166, hexagonal axes)
Inequivalent atoms, fractional coordinates:
1 Pr 0.0000 0.0000 0.2117 [6 per cell]  9 Pt 3.08-3.33, 3 Fe 3.43
2 Fe 0.0000 0.0000 0.5000 [3 per cell]  6 Pt 2.55
3 B 0.0000 0.0000 0.0000 [3 per cell]  6 Pt 2.12
4 Pt 0.0100 0.5050 0.2686 [18 per cell]  1 B 2.12


Compound: PrFe2Si2B
Source: Alexandria
Functional: PBE-GGA
Structure: optimized geometry

Output
Energy = -42.34 eV/cell
Mass density = 6.39 g/cm³
E_form (uncorrected) = -0.52 eV/atom

Unit cell a=3.9310 b=3.9310 c=5.3731 alpha=90.00 beta=90.00 gamma=90.00
Closest atoms and distances in Å follow each position.
Space group P4/mmm (No. 123)
Inequivalent atoms, fractional coordinates:
1 Pr 0.0000 0.0000 0.0000 [1 per cell]  2 B 2.69
2 Fe 0.0000 0.5000 0.5000 [2 per cell]  2 B 1.97
3 Si 0.5000 0.5000 0.2388 [2 per cell]  4 Fe 2.42, 1 Si 2.57
4 B 0.0000 0.0000 0.5000 [1 per cell]  4 Fe 1.97


Compound: FeBPt3
Source: Alexandria
Functional: PBE-GGA
Structure: optimized geometry

Output
Energy = -24.45 eV/cell
Mass density = 11.20 g/cm³
Formation energy = 1.76 eV/atom
ΔE to the lowest computed polymorph = 1931.6 meV/atom

Unit cell a=4.5894 b=4.5894 c=4.5894 alpha=90.00 beta=90.00 gamma=90.00
Closest atoms and distances in Å follow each position.
Space group Pm-3m (No. 221)
Inequivalent atoms, fractional coordinates:
1 Fe 0.0000 0.0000 0.0000 [1 per cell]  6 Pt 2.29
2 B 0.5000 0.5000 0.5000 [1 per cell]  12 Pt 3.25
3 Pt 0.0000 0.0000 0.5000 [3 per cell]  2 Fe 2.29


Compound: FeBPt3
Source: Alexandria
Functional: PBE-GGA
Structure: optimized geometry

Output
Energy = -32.94 eV/cell
Mass density = 14.84 g/cm³
Formation energy = 0.06 eV/atom
ΔE to the lowest computed polymorph = 232.7 meV/atom

Unit cell a=4.1784 b=4.1784 c=4.1784 alpha=90.00 beta=90.00 gamma=90.00
Closest atoms and distances in Å follow each position.
Space group Pm-3m (No. 221)
Inequivalent atoms, fractional coordinates:
1 Fe 0.0000 0.0000 0.0000 [1 per cell]  12 Pt 2.95
2 B 0.5000 0.5000 0.5000 [1 per cell]  6 Pt 2.09
3 Pt 0.0000 0.5000 0.5000 [3 per cell]  2 B 2.09


Compound: Fe2B2Pt
Source: Alexandria
Functional: PBE-GGA
Structure: optimized geometry

Output
Energy = -74.44 eV/cell
Mass density = 11.01 g/cm³
Formation energy = -0.18 eV/atom

Unit cell a=5.6099 b=5.6099 c=3.1490 alpha=90.00 beta=90.00 gamma=90.00
Closest atoms and distances in Å follow each position.
Space group P4/mbm (No. 127)
Inequivalent atoms, fractional coordinates:
1 Fe 0.1606 0.3394 0.0000 [4 per cell]  6 B 2.21-2.39
2 B 0.1128 0.6128 0.5000 [4 per cell]  1 B 1.79
3 Pt 0.0000 0.0000 0.5000 [2 per cell]  4 B 2.26


- Which value of energy does entry 3 give?
  -19.97 eV/cell


- Which value of energy does entry 1 give?
  -81.26 eV/cell